# 1
This record from the Alexandria database describes an optimized crystal structure of UCo4Ni. The functional is GGA-PBE.

```
UCo4Ni
1.0
0.000 3.393 3.393
3.393 0.000 3.393
3.393 3.393 0.000
U Co Ni
1 4 1
direct
0.000 0.000 0.000 U
0.376 0.376 0.376 Co
0.376 0.376 0.872 Co
0.376 0.872 0.376 Co
0.872 0.376 0.376 Co
0.750 0.750 0.750 Ni
```

=====

# 2
This record from the Alexandria database describes an optimized crystal structure of UCo2Ni5. The functional is GGA-PBE.

```
UCo2Ni5
1.0
-1.695 3.578 4.192
1.695 -3.578 4.192
1.695 3.578 -4.192
U Co Ni
1 2 5
direct
0.000 0.000 0.000 U
0.209 0.709 0.500 Co
0.791 0.291 0.500 Co
0.174 0.352 0.822 Ni
0.470 0.648 0.822 Ni
0.500 0.000 0.500 Ni
0.530 0.352 0.178 Ni
0.826 0.648 0.178 Ni
```

=====

# 3
This record from the Alexandria database describes an optimized crystal structure of U2Co3Ni. The functional is GGA-PBE.

```
U2Co3Ni
1.0
4.931 0.000 0.000
-2.465 4.270 0.000
0.000 0.000 7.998
U Co Ni
4 6 2
direct
0.333 0.667 0.063 U
0.333 0.667 0.437 U
0.667 0.333 0.563 U
0.667 0.333 0.937 U
0.164 0.329 0.750 Co
0.164 0.836 0.750 Co
0.329 0.164 0.250 Co
0.671 0.836 0.750 Co
0.836 0.164 0.250 Co
0.836 0.671 0.250 Co
0.000 0.000 0.000 Ni
0.000 0.000 0.500 Ni
```

=====

# 4
This record from the Alexandria database describes an optimized crystal structure of UCo2Ni2. The functional is GGA-PBE.

```
UCo2Ni2
1.0
-1.804 1.804 5.438
1.804 -1.804 5.438
1.804 1.804 -5.438
U Co Ni
1 2 2
direct
0.000 0.000 0.000 U
0.250 0.750 0.500 Co
0.750 0.250 0.500 Co
0.394 0.394 0.000 Ni
0.606 0.606 0.000 Ni
```

=====

# 5
This record from the Alexandria database describes an optimized crystal structure of UZnCoNi. The functional is GGA-PBE.

```
UZnCoNi
1.0
0.000 3.126 3.126
3.126 0.000 3.126
3.126 3.126 0.000
U Zn Co Ni
1 1 1 1
direct
0.000 0.000 0.000 U
0.500 0.500 0.500 Zn
0.750 0.750 0.750 Co
0.250 0.250 0.250 Ni
```

=====

# 6
This record from the Alexandria database describes an optimized crystal structure of V3CoNi4. The functional is GGA-PBE.

```
V3CoNi4
1.0
-1.758 1.766 7.416
1.758 -1.766 7.416
1.758 1.766 -7.416
V Co Ni
3 1 4
direct
0.000 0.000 0.000 V
0.253 0.253 0.000 V
0.747 0.747 0.000 V
0.500 0.500 0.000 Co
0.122 0.622 0.500 Ni
0.378 0.878 0.500 Ni
0.622 0.122 0.500 Ni
0.878 0.378 0.500 Ni
```

=====

# 7
This record from the Alexandria database describes an optimized crystal structure of VCo2Ni6. The functional is GGA-PBE.

```
VCo2Ni6
1.0
0.000 3.890 6.227
2.075 0.000 6.227
2.075 3.890 0.000
V Co Ni
1 2 6
direct
0.000 0.000 0.000 V
0.329 0.329 0.671 Co
0.671 0.671 0.329 Co
0.002 0.669 0.331 Ni
0.331 0.998 0.002 Ni
0.338 0.662 0.338 Ni
0.662 0.338 0.662 Ni
0.669 0.002 0.998 Ni
0.998 0.331 0.669 Ni
```

Energy relative to the lowest polymorph listed for this composition   0 meV/atom

=====

# 8
This record from the Alexandria database describes an optimized crystal structure of V3CoNi. The functional is GGA-PBE.

```
V3CoNi
1.0
4.250 0.000 0.000
0.000 4.250 0.000
0.000 0.000 4.250
V Co Ni
3 1 1
direct
0.000 0.000 0.500 V
0.000 0.500 0.000 V
0.500 0.000 0.000 V
0.000 0.000 0.000 Co
0.500 0.500 0.500 Ni
```

Energy relative to the lowest polymorph listed for this composition   695 meV/atom

=====

# 9
This record from the Alexandria database describes an optimized crystal structure of VCoNi14. The functional is GGA-PBE.

```
VCoNi14
1.0
8.149 0.000 0.000
0.000 2.491 4.325
0.000 -2.491 4.325
V Co Ni
1 1 14
direct
0.000 0.000 0.000 V
0.000 0.500 0.500 Co
0.000 0.000 0.499 Ni
0.000 0.499 0.000 Ni
0.248 0.167 0.666 Ni
0.248 0.666 0.167 Ni
0.249 0.165 0.165 Ni
0.249 0.665 0.665 Ni
0.500 0.333 0.333 Ni
0.500 0.333 0.833 Ni
0.500 0.833 0.333 Ni
0.500 0.833 0.833 Ni
0.751 0.165 0.165 Ni
0.751 0.665 0.665 Ni
0.752 0.167 0.666 Ni
0.752 0.666 0.167 Ni
```

=====

# 10
This record from the Alexandria database describes an optimized crystal structure of VCoNi4. The functional is GGA-PBE.

```
VCoNi4
1.0
2.463 -6.793 0.000
2.463 6.793 0.000
-0.003 0.000 4.124
V Co Ni
2 2 8
direct
0.200 0.800 0.750 V
0.800 0.200 0.250 V
0.303 0.697 0.250 Co
0.697 0.303 0.750 Co
0.111 0.392 0.749 Ni
0.210 0.294 0.247 Ni
0.294 0.210 0.747 Ni
0.392 0.111 0.249 Ni
0.608 0.889 0.751 Ni
0.706 0.790 0.253 Ni
0.790 0.706 0.753 Ni
0.889 0.608 0.251 Ni
```

Energy relative to the lowest polymorph listed for this composition   0 meV/atom

=====

# 11
This record from the Alexandria database describes an optimized crystal structure of V2CoNi8. The functional is GGA-PBE.

```
V2CoNi8
1.0
-1.963 2.836 5.718
1.963 -2.836 5.718
1.963 2.836 -5.718
V Co Ni
2 1 8
direct
0.198 0.198 0.000 V
0.802 0.802 0.000 V
0.500 0.500 0.000 Co
0.075 0.360 0.715 Ni
0.216 0.000 0.216 Ni
0.333 0.833 0.500 Ni
0.355 0.640 0.715 Ni
0.645 0.360 0.285 Ni
0.667 0.167 0.500 Ni
0.784 0.000 0.784 Ni
0.925 0.640 0.285 Ni
```

=====

# 12
This record from the Alexandria database describes an optimized crystal structure of V2CoNi. The functional is GGA-PBE.

```
V2CoNi
1.0
-3.205 3.205 2.465
3.205 -3.205 2.465
3.205 3.205 -2.465
V Co Ni
4 2 2
direct
0.112 0.625 0.987 V
0.375 0.362 0.487 V
0.638 0.125 0.013 V
0.875 0.888 0.513 V
0.000 0.000 0.000 Co
0.750 0.250 0.500 Co
0.250 0.750 0.500 Ni
0.500 0.500 0.000 Ni
```

Energy relative to the lowest polymorph listed for this composition   427 meV/atom

=====

| no. | uncorrected energy (eV per atom) | ΔH_f (0 K) (eV per atom) |
| --- | --- | --- |
| 1 | -7.637 | -0.055 |
| 2 | -6.832 | -0.031 |
| 3 | -8.483 | -0.204 |
| 4 | -7.370 | 0.043 |
| 5 | -6.419 | -0.056 |
| 6 | -7.379 | -0.181 |
| 7 | -6.435 | 0.012 |
| 8 | -7.179 | 0.869 |
| 9 | -6.101 | -0.028 |
| 10 | -6.554 | 0.005 |
| 11 | -6.514 | -0.006 |
| 12 | -7.519 | 0.262 |